# 1
Ti2VBi: relaxed, PBE.

DFT formation energy ... 209 kJ/mol of formula units
Fermi-level density of states ... 1.878 states/eV per atom

Cell: 4.011 4.011 10.331 Å, 78.81 78.81 90.00°
Each line ends with the local moment (μB).
Fractional coordinates of all 8 atoms:
1 V 0.500 0.500 0.000  1.60
2 V 0.250 0.750 0.500  1.60
3 Bi 0.000 0.000 0.000  -0.03
4 Bi 0.750 0.250 0.500  -0.03
5 Ti 0.133 0.125 0.250  -0.26
6 Ti 0.617 0.625 0.250  -0.26
7 Ti 0.375 0.867 0.750  -0.26
8 Ti 0.875 0.383 0.750  -0.26

=====

# 2
Ti3VBi: relaxed, PBE.

DFT formation energy ... 244 kJ/mol of formula units
Fermi-level density of states ... 1.098 states/eV per atom

Cell: 4.649 4.649 4.649 Å, 90.00 90.00 90.00°
Each line ends with the local moment (μB).
Fractional coordinates of all 5 atoms:
1 V 0.000 0.000 0.000  0.04
2 Bi 0.500 0.500 0.500  -0.03
3 Ti 0.000 0.500 0.000  0.43
4 Ti 0.000 0.000 0.500  0.43
5 Ti 0.500 0.000 0.000  0.43

=====

# 3
Ti12VBi6: relaxed, PBE.

DFT formation energy ... 120 kJ/mol of formula units
Fermi-level density of states ... 1.192 states/eV per atom

Cell: 7.258 7.258 7.258 Å, 93.32 93.32 93.32°
Fractional coordinates of all 19 atoms:
1 Ti 0.778 0.541 0.456
2 Ti 0.456 0.778 0.541
3 Ti 0.541 0.456 0.778
4 Ti 0.222 0.459 0.544
5 Ti 0.544 0.222 0.459
6 Ti 0.459 0.544 0.222
7 Ti 0.055 0.143 0.358
8 Ti 0.857 0.642 0.945
9 Ti 0.642 0.945 0.857
10 Ti 0.945 0.857 0.642
11 Ti 0.143 0.358 0.055
12 Ti 0.358 0.055 0.143
13 V 0.000 0.000 0.000
14 Bi 0.703 0.886 0.267
15 Bi 0.733 0.297 0.114
16 Bi 0.114 0.733 0.297
17 Bi 0.297 0.114 0.733
18 Bi 0.267 0.703 0.886
19 Bi 0.886 0.267 0.703

=====

no.,total magnetization (Bohr magnetons per cell)
1,2.3
2,1.9
3,0.0